First-principles (GGA-PBE) data for an optimized crystal structure of CaMgSeN2, as listed in Alexandria via LeMat-Bulk.

Computed properties:
- Excess energy over the best structure of this formula in the dataset: 563 meV/atom
- Density of states at the Fermi level: 1.05 states/eV/cell

Geometry as POSCAR:
```
CaMgSeN2
1.0
4.454 0.000 0.000
0.000 4.454 0.000
0.000 0.000 5.784
Ca Mg Se N
1 1 1 2
direct
0.000 0.000 0.000
0.500 0.500 0.500
0.000 0.000 0.500
0.000 0.500 0.000
0.500 0.000 0.000
```